# Sm2Ir7

A relaxed structure of Sm2Ir7 (PBE-GGA, Alexandria via LeMat-Bulk).

Summary:
For the density of states at the Fermi level, the calculation gives 0.82 states/eV per atom. The calculation puts the total moment at 0.00 μB per formula unit. As for the space group: R-3m, No. 166. Its density is 16.8 g/cm³. Its formation enthalpy at 0 K is -0.467 eV/atom. Its crystal system is trigonal.

a = 13.5243 Å, b = 13.5243 Å, c = 13.5243 Å
α = 22.78°, β = 22.78°, γ = 22.78°
Positions (direct):
1 Sm 0.0499 0.0499 0.0499
2 Sm 0.1474 0.1474 0.1474
3 Sm 0.8526 0.8526 0.8526
4 Sm 0.9501 0.9501 0.9501
5 Ir 0.0000 0.5000 0.5000
6 Ir 0.1101 0.6095 0.6095
7 Ir 0.2777 0.2777 0.2777
8 Ir 0.3889 0.3889 0.3889
9 Ir 0.3905 0.3905 0.8899
10 Ir 0.3905 0.8899 0.3905
11 Ir 0.5000 0.0000 0.5000
12 Ir 0.5000 0.5000 0.0000
13 Ir 0.5000 0.5000 0.5000
14 Ir 0.6095 0.1101 0.6095
15 Ir 0.6095 0.6095 0.1101
16 Ir 0.6111 0.6111 0.6111
17 Ir 0.7223 0.7223 0.7223
18 Ir 0.8899 0.3905 0.3905

---

# Sm5Ir2

A relaxed structure of Sm5Ir2 (PBE-GGA, Alexandria via LeMat-Bulk).

Summary:
For the density of states at the Fermi level, the calculation gives 1.06 states/eV per atom. The calculation puts the total moment at 0.00 μB per formula unit. As for the space group: C2/c, No. 15. Its density is 9.6 g/cm³. Its formation enthalpy at 0 K is -0.559 eV/atom. Its crystal system is monoclinic.

a = 8.8448 Å, b = 8.8448 Å, c = 7.2805 Å
α = 96.50°, β = 96.50°, γ = 43.93°
Positions (direct):
1 Sm 0.0696 0.9304 0.7500
2 Sm 0.1484 0.2885 0.3154
3 Sm 0.2885 0.1484 0.8154
4 Sm 0.2956 0.5190 0.0806
5 Sm 0.4810 0.7044 0.4194
6 Sm 0.5190 0.2956 0.5806
7 Sm 0.7044 0.4810 0.9194
8 Sm 0.7115 0.8516 0.1846
9 Sm 0.8516 0.7115 0.6846
10 Sm 0.9304 0.0696 0.2500
11 Ir 0.0980 0.6789 0.4248
12 Ir 0.3211 0.9020 0.0752
13 Ir 0.6789 0.0980 0.9248
14 Ir 0.9020 0.3211 0.5752

---

# Sm5Ir3

A relaxed structure of Sm5Ir3 (PBE-GGA, Alexandria via LeMat-Bulk).

Summary:
For the density of states at the Fermi level, the calculation gives 0.67 states/eV per atom. The calculation puts the total moment at 0.00 μB per formula unit. As for the space group: P4/ncc, No. 130. Its density is 11.0 g/cm³. Its formation enthalpy at 0 K is -0.682 eV/atom. Its crystal system is tetragonal.

a = 11.1354 Å, b = 11.1354 Å, c = 6.4987 Å
α = 90.00°, β = 90.00°, γ = 90.00°
Positions (direct):
1 Sm 0.0420 0.1605 0.1176
2 Sm 0.0420 0.3395 0.6176
3 Sm 0.1605 0.0420 0.6176
4 Sm 0.1605 0.4580 0.1176
5 Sm 0.2500 0.7500 0.0000
6 Sm 0.2500 0.7500 0.5000
7 Sm 0.3395 0.0420 0.1176
8 Sm 0.3395 0.4580 0.6176
9 Sm 0.4580 0.1605 0.6176
10 Sm 0.4580 0.3395 0.1176
11 Sm 0.5420 0.6605 0.8824
12 Sm 0.5420 0.8395 0.3824
13 Sm 0.6605 0.5420 0.3824
14 Sm 0.6605 0.9580 0.8824
15 Sm 0.7500 0.2500 0.0000
16 Sm 0.7500 0.2500 0.5000
17 Sm 0.8395 0.5420 0.8824
18 Sm 0.8395 0.9580 0.3824
19 Sm 0.9580 0.6605 0.3824
20 Sm 0.9580 0.8395 0.8824
21 Ir 0.0964 0.5964 0.7500
22 Ir 0.0964 0.9036 0.2500
23 Ir 0.2500 0.2500 0.3766
24 Ir 0.2500 0.2500 0.8766
25 Ir 0.4036 0.5964 0.2500
26 Ir 0.4036 0.9036 0.7500
27 Ir 0.5964 0.0964 0.2500
28 Ir 0.5964 0.4036 0.7500
29 Ir 0.7500 0.7500 0.1234
30 Ir 0.7500 0.7500 0.6234
31 Ir 0.9036 0.0964 0.7500
32 Ir 0.9036 0.4036 0.2500

---

# SmIr4

A relaxed structure of SmIr4 (PBE-GGA, Alexandria via LeMat-Bulk).

Summary:
For the density of states at the Fermi level, the calculation gives 1.57 states/eV per atom. The calculation puts the total moment at 3.01 μB per formula unit. As for the space group: Pm-3m, No. 221. Its density is 13.1 g/cm³. Its formation enthalpy at 0 K is 2.653 eV/atom. Its crystal system is cubic.

a = 4.8859 Å, b = 4.8859 Å, c = 4.8859 Å
α = 90.00°, β = 90.00°, γ = 90.00°
Positions (direct):
1 Sm 0.0000 0.0000 0.0000
2 Ir 0.0000 0.0000 0.5000
3 Ir 0.0000 0.5000 0.0000
4 Ir 0.5000 0.0000 0.0000
5 Ir 0.5000 0.5000 0.5000

---

# Sm12SnIr6

A relaxed structure of Sm12SnIr6 (PBE-GGA, Alexandria via LeMat-Bulk).

Summary:
For the density of states at the Fermi level, the calculation gives 0.41 states/eV per atom. The calculation puts the total moment at 0.00 μB per formula unit. As for the space group: Im-3, No. 204. Its density is 9.7 g/cm³. Its formation enthalpy at 0 K is -0.561 eV/atom. Its crystal system is cubic.

a = 8.8023 Å, b = 8.8023 Å, c = 8.8023 Å
α = 109.47°, β = 109.47°, γ = 109.47°
Positions (direct):
1 Sm 0.1099 0.8079 0.3020
2 Sm 0.1921 0.3020 0.4941
3 Sm 0.1921 0.6980 0.8901
4 Sm 0.3020 0.1099 0.8079
5 Sm 0.3020 0.4941 0.1921
6 Sm 0.4941 0.1921 0.3020
7 Sm 0.5059 0.8079 0.6980
8 Sm 0.6980 0.5059 0.8079
9 Sm 0.6980 0.8901 0.1921
10 Sm 0.8079 0.3020 0.1099
11 Sm 0.8079 0.6980 0.5059
12 Sm 0.8901 0.1921 0.6980
13 Sn 0.0000 0.0000 0.0000
14 Ir 0.1244 0.6244 0.5000
15 Ir 0.3756 0.5000 0.8756
16 Ir 0.5000 0.1244 0.6244
17 Ir 0.5000 0.8756 0.3756
18 Ir 0.6244 0.5000 0.1244
19 Ir 0.8756 0.3756 0.5000

---

# Sm4SnIr2

A relaxed structure of Sm4SnIr2 (PBE-GGA, Alexandria via LeMat-Bulk).

Summary:
For the density of states at the Fermi level, the calculation gives 0.38 states/eV per atom. The calculation puts the total moment at 0.00 μB per formula unit. As for the space group: R-3m, No. 166. Its density is 9.5 g/cm³. Its formation enthalpy at 0 K is -0.632 eV/atom. Its crystal system is trigonal.

a = 10.2731 Å, b = 10.2731 Å, c = 10.2731 Å
α = 26.71°, β = 26.71°, γ = 26.71°
Positions (direct):
1 Sm 0.1132 0.1132 0.1132
2 Sm 0.2980 0.2980 0.2980
3 Sm 0.7020 0.7020 0.7020
4 Sm 0.8868 0.8868 0.8868
5 Sn 0.5000 0.5000 0.5000
6 Ir 0.4017 0.4017 0.4017
7 Ir 0.5983 0.5983 0.5983

---

Repeat the fourth record exactly.
# SmIr4

A relaxed structure of SmIr4 (PBE-GGA, Alexandria via LeMat-Bulk).

Summary:
For the density of states at the Fermi level, the calculation gives 1.57 states/eV per atom. The calculation puts the total moment at 3.01 μB per formula unit. As for the space group: Pm-3m, No. 221. Its density is 13.1 g/cm³. Its formation enthalpy at 0 K is 2.653 eV/atom. Its crystal system is cubic.

a = 4.8859 Å, b = 4.8859 Å, c = 4.8859 Å
α = 90.00°, β = 90.00°, γ = 90.00°
Positions (direct):
1 Sm 0.0000 0.0000 0.0000
2 Ir 0.0000 0.0000 0.5000
3 Ir 0.0000 0.5000 0.0000
4 Ir 0.5000 0.0000 0.0000
5 Ir 0.5000 0.5000 0.5000